10
Lattice="0.0000 4.2066 4.2066 4.2066 0.0000 4.2066 4.2066 4.2066 0.0000" Properties=species:S:1:pos:R:3 comment="PBE Rb2YIrO6, relaxed" formation_energy_uncorrected_ev_per_atom=-1.66 spacegroup="Fm-3m, No. 225" volume_a3_per_atom=14.9 crystal_system=cubic rho_g_cm3=6.1 final_energy_ev_per_atom=-6.36 pbc="T T T"
Rb 2.1033 2.1033 2.1033
Rb 6.3100 6.3100 6.3100
Y 0.0000 0.0000 0.0000
Ir 4.2066 4.2066 4.2066
O 4.2066 4.2066 2.2779
O 4.2066 2.2779 4.2066
O 6.1354 4.2066 4.2066
O 2.2779 4.2066 4.2066
O 4.2066 6.1354 4.2066
O 4.2066 4.2066 6.1354


11
Lattice="2.9206 -5.0041 0.0000 2.9206 5.0041 0.0000 -1.7865 0.0000 6.6397" Properties=species:S:1:pos:R:3 comment="PBE Rb2Y2IrO6, relaxed" formation_energy_uncorrected_ev_per_atom=-2.11 spacegroup="C2/m, No. 12" volume_a3_per_atom=17.6 crystal_system=monoclinic rho_g_cm3=5.4 final_energy_ev_per_atom=-6.97 pbc="T T T"
Rb 2.9206 3.3687 0.0000
Rb 2.9206 -3.3687 0.0000
Y 2.0273 1.6489 3.3199
Y 2.0273 -1.6489 3.3199
Ir -0.8933 0.0000 3.3199
O 0.0009 1.5544 4.4128
O 0.8880 0.0000 2.2086
O 0.0009 -1.5544 4.4128
O 4.0537 1.5544 2.2270
O 3.1666 0.0000 4.4311
O 4.0537 -1.5544 2.2270


16
Lattice="0.0000 6.9415 9.9423 2.9217 0.0000 9.9423 2.9217 6.9415 0.0000" Properties=species:S:1:pos:R:3 comment="PBE Rb2ZnIrO4, relaxed" formation_energy_uncorrected_ev_per_atom=-1.00 spacegroup="Fddd, No. 70" volume_a3_per_atom=25.2 crystal_system=orthorhombic rho_g_cm3=4.1 final_energy_ev_per_atom=-4.99 pbc="T T T"
Rb 2.1912 5.2062 0.9770
Rb 3.6521 8.6769 5.9482
Rb 2.1912 5.2062 13.9364
Rb 3.6521 8.6769 18.9075
Zn 0.7304 1.7354 2.4856
Zn 5.1129 12.1477 17.3990
Ir 2.1912 5.2062 7.4567
Ir 3.6521 8.6769 12.4278
O 3.5881 3.8849 7.3477
O 3.5881 6.5274 7.5657
O 5.0490 7.3557 12.5368
O 5.0490 9.9981 12.3188
O 0.7943 3.8849 7.5657
O 0.7943 6.5274 7.3477
O 2.2552 7.3557 12.3188
O 2.2552 9.9981 12.5368


9
Lattice="5.4664 0.0000 0.0000 -2.7332 4.7340 0.0000 0.0000 0.0000 6.3075" Properties=species:S:1:pos:R:3 comment="PBE RbZrIrO6, relaxed" formation_energy_uncorrected_ev_per_atom=-1.59 spacegroup="P312, No. 149" volume_a3_per_atom=18.1 crystal_system=trigonal rho_g_cm3=4.7 final_energy_ev_per_atom=-6.93 pbc="T T T"
Rb 0.0000 0.0000 0.0000
Zr 0.0000 3.1560 3.1538
Ir 2.7332 1.5780 3.1538
O 2.1247 0.1237 4.2613
O 1.1695 1.7782 2.0462
O 3.3417 0.1237 2.0462
O 1.7780 2.8322 4.2613
O 4.2969 1.7782 4.2613
O 3.6884 2.8322 2.0462